#w
Material: PrZrAu
Method: DFT, GGA-PBE
State: relaxed

a = 3.5178 Å, b = 3.5178 Å, c = 6.6377 Å
α = 105.37°, β = 105.37°, γ = 90.00°
Closest atoms and distances in Å follow each position.
Element x y z (fractional)
Pr  0.9987  0.9987  0.9973  4 Au 3.40, 5 Zr 3.44-3.78, 4 Pr 3.52
Au  0.3101  0.3101  0.6202  4 Zr 2.89
Zr  0.6912  0.6912  0.3825  4 Au 2.89

Total magnetization   0.000 μB per atom
SG   I4mm, No. 107

=====

#x
Material: PrZrAu
Method: DFT, GGA-PBE
State: relaxed

a = 4.5825 Å, b = 4.5825 Å, c = 7.4729 Å
α = 90.00°, β = 90.00°, γ = 90.00°
Closest atoms and distances in Å follow each position.
Element x y z (fractional)
Pr  0.0000  0.5000  0.8648  1 Au 2.96
Pr  0.5000  0.0000  0.1352  1 Au 2.96
Au  0.0000  0.5000  0.2609  4 Zr 2.91, 1 Pr 2.96
Au  0.5000  0.0000  0.7391  4 Zr 2.91, 1 Pr 2.96
Zr  0.5000  0.5000  0.5000  4 Au 2.91, 4 Zr 3.24
Zr  0.0000  0.0000  0.5000  4 Au 2.91, 4 Zr 3.24

Total magnetization   0.000 μB per atom
SG   P4/nmm, No. 129

=====

The structure with the least stability is #w.

=====

#w
Material: PtAu5
Method: DFT, GGA-PBE
State: relaxed

a = 2.9434 Å, b = 5.6191 Å, c = 6.9555 Å
α = 106.67°, β = 90.00°, γ = 105.18°
Closest atoms and distances in Å follow each position.
Element x y z (fractional)
Au  0.0038  0.0077  0.0011  9 Au 2.87-2.96, 3 Pt 2.91-2.97
Au  0.3865  0.7729  0.2717  2 Pt 2.86, 10 Au 2.92-3.02
Au  0.6681  0.3362  0.3339  11 Au 2.87-2.97, 1 Pt 2.95
Au  0.0545  0.1090  0.6110  2 Pt 2.88, 10 Au 2.91-2.97
Au  0.3322  0.6645  0.6734  10 Au 2.88-3.02, 2 Pt 2.91
Pt  0.7215  0.4431  0.9423  10 Au 2.86-2.97, 2 Pt 2.94

Total magnetization   0.000 μB per atom
SG   Cm, No. 8

=====

#x
Material: PtAu5
Method: DFT, GGA-PBE
State: relaxed

a = 5.3425 Å, b = 5.3425 Å, c = 4.8289 Å
α = 90.00°, β = 90.00°, γ = 120.00°
Closest atoms and distances in Å follow each position.
Element x y z (fractional)
Pt  0.0000  0.0000  0.0000  6 Au 3.08
Au  0.0000  0.5000  0.5000  8 Au 2.67-2.86
Au  0.3333  0.6667  0.0000  9 Au 2.86-3.08, 3 Pt 3.08
Au  0.5000  0.0000  0.5000  8 Au 2.67-2.86
Au  0.5000  0.5000  0.5000  8 Au 2.67-2.86
Au  0.6667  0.3333  0.0000  9 Au 2.86-3.08, 3 Pt 3.08

Total magnetization   0.000 μB per atom
SG   P6/mmm, No. 191

=====

The structure with the least stability is #x.

=====

#w
Material: Pt2Au3
Method: DFT, GGA-PBE
State: relaxed

a = 5.4798 Å, b = 5.4798 Å, c = 7.8298 Å
α = 69.52°, β = 69.52°, γ = 60.00°
Closest atoms and distances in Å follow each position.
Element x y z (fractional)
Au  0.2193  0.7500  0.7500  4 Au 2.76, 4 Pt 2.76-2.89
Au  0.7500  0.2807  0.7500  4 Au 2.76, 4 Pt 2.76-2.89
Au  0.2807  0.2193  0.7500  4 Au 2.76, 4 Pt 2.76-2.89
Au  0.2500  0.7193  0.2500  4 Au 2.76, 4 Pt 2.76-2.89
Au  0.7193  0.7807  0.2500  4 Au 2.76, 4 Pt 2.76-2.89
Au  0.7807  0.2500  0.2500  4 Au 2.76, 4 Pt 2.76-2.89
Pt  0.8116  0.8116  0.5652  1 Pt 2.65, 6 Au 2.76-2.89
Pt  0.3116  0.3116  0.0652  1 Pt 2.65, 6 Au 2.76-2.89
Pt  0.1884  0.1884  0.4348  1 Pt 2.65, 6 Au 2.76-2.89
Pt  0.6884  0.6884  0.9348  1 Pt 2.65, 6 Au 2.76-2.89

Total magnetization   0.000 μB per atom
SG   R-3c, No. 167

=====

#x
Material: Pt2Au3
Method: DFT, GGA-PBE
State: relaxed

a = 12.0508 Å, b = 12.0508 Å, c = 12.0508 Å
α = 13.65°, β = 13.65°, γ = 13.65°
Closest atoms and distances in Å follow each position.
Element x y z (fractional)
Au  0.0000  0.0000  0.0000  6 Au 2.86, 6 Pt 2.89
Au  0.2011  0.2011  0.2011  9 Au 2.86-2.97, 3 Pt 2.89
Au  0.7989  0.7989  0.7989  9 Au 2.86-2.97, 3 Pt 2.89
Pt  0.3995  0.3995  0.3995  6 Pt 2.86, 6 Au 2.89
Pt  0.6005  0.6005  0.6005  6 Pt 2.86, 6 Au 2.89

Total magnetization   0.000 μB per atom
SG   R-3m, No. 166

=====

The structure with the least stability is #w.

=====

#w
Material: Pt2Au13
Method: DFT, GGA-PBE
State: relaxed

a = 5.0444 Å, b = 7.1807 Å, c = 8.8498 Å
α = 123.36°, β = 84.35°, γ = 90.13°
Closest atoms and distances in Å follow each position.
Element x y z (fractional)
Pt  0.0658  0.7312  0.6004  11 Au 2.88-2.95, 1 Pt 2.89
Pt  0.9342  0.2688  0.3996  11 Au 2.88-2.95, 1 Pt 2.89
Au  0.8019  0.8040  0.1994  11 Au 2.90-2.98, 1 Pt 2.91
Au  0.1981  0.1960  0.8006  11 Au 2.90-2.98, 1 Pt 2.91
Au  0.0000  0.0000  0.0000  10 Au 2.91-2.95, 2 Pt 2.93
Au  0.2638  0.9317  0.4015  10 Au 2.88-2.96, 2 Pt 2.93-2.95
Au  0.7362  0.0683  0.5985  10 Au 2.88-2.96, 2 Pt 2.93-2.95
Au  0.8673  0.5322  0.7938  2 Pt 2.88-2.89, 10 Au 2.89-2.98
Au  0.1327  0.4678  0.2062  2 Pt 2.88-2.89, 10 Au 2.89-2.98
Au  0.6033  0.6022  0.4036  3 Pt 2.89-2.92, 9 Au 2.89-2.98
Au  0.3967  0.3978  0.5964  3 Pt 2.89-2.92, 9 Au 2.89-2.98
Au  0.5332  0.8672  0.7986  10 Au 2.90-2.97, 2 Pt 2.91-2.92
Au  0.4668  0.1328  0.2014  10 Au 2.90-2.97, 2 Pt 2.91-2.92
Au  0.6673  0.3382  0.0017  12 Au 2.89-2.97
Au  0.3327  0.6618  0.9983  12 Au 2.89-2.97

Total magnetization   0.000 μB per atom
SG   P-1, No. 2

=====

#x
Material: Pt2Au13
Method: DFT, GGA-PBE
State: relaxed

a = 7.6374 Å, b = 7.6374 Å, c = 8.2393 Å
α = 62.39°, β = 62.39°, γ = 60.00°
Closest atoms and distances in Å follow each position.
Element x y z (fractional)
Pt  0.7268  0.7268  0.8194  9 Au 2.78-2.94
Pt  0.2732  0.2732  0.1806  9 Au 2.78-2.94
Au  0.5000  0.5000  0.5000  12 Au 2.82-2.84
Au  0.1432  0.5137  0.8294  5 Au 2.63-2.83, 2 Pt 2.78-2.94
Au  0.5137  0.5137  0.8294  5 Au 2.63-2.83, 2 Pt 2.78-2.94
Au  0.5137  0.1432  0.8294  5 Au 2.63-2.83, 2 Pt 2.78-2.94
Au  0.4863  0.8568  0.1706  5 Au 2.63-2.83, 2 Pt 2.78-2.94
Au  0.8568  0.4863  0.1706  5 Au 2.63-2.83, 2 Pt 2.78-2.94
Au  0.4863  0.4863  0.1706  5 Au 2.63-2.83, 2 Pt 2.78-2.94
Au  0.0846  0.7258  0.4638  6 Au 2.74-2.87, 1 Pt 2.94
Au  0.7258  0.7258  0.4638  6 Au 2.74-2.87, 1 Pt 2.94
Au  0.7258  0.0846  0.4638  6 Au 2.74-2.87, 1 Pt 2.94
Au  0.2742  0.9154  0.5362  6 Au 2.74-2.87, 1 Pt 2.94
Au  0.9154  0.2742  0.5362  6 Au 2.74-2.87, 1 Pt 2.94
Au  0.2742  0.2742  0.5362  6 Au 2.74-2.87, 1 Pt 2.94

Total magnetization   0.000 μB per atom
SG   R-3m, No. 166

=====

The structure with the least stability is #x.